[1]
# K2MgMnI6 PBE-GGA optimized geometry
# Crystal system: monoclinic
# Energy relative to the elements, uncorrected (kJ/mol of atoms): -95.3
# Raw total energy (eV for the cell shown): -64.3
data_K2MgMnI6
_chemical_formula_sum 'K4 Mg2 Mn2 I12'
_cell_length_a 7.954
_cell_length_b 8.250
_cell_length_c 13.903
_cell_angle_alpha 90.00
_cell_angle_beta 124.87
_cell_angle_gamma 90.00
_symmetry_space_group_name_H-M 'P 1 21/c 1'
_symmetry_Int_Tables_number 14
_symmetry_space_group_name_Hall '-P 2ybc'
loop_
_atom_site_label
_atom_site_type_symbol
_atom_site_fract_x
_atom_site_fract_y
_atom_site_fract_z
K1 K 0.224 0.078 0.250
Mg1 Mg 0.000 0.000 0.500
Mn1 Mn 0.500 0.000 0.000
I1 I 0.157 0.197 0.957
I2 I 0.260 0.700 0.957
I3 I 0.342 0.009 0.752

[2]
# Rb4Pm3ErSe8 PBE-GGA optimized geometry
# Crystal system: trigonal
# Energy relative to the elements, uncorrected (kJ/mol of atoms): -167.4
# Raw total energy (eV for the cell shown): -234.9
data_Rb4Pm3ErSe8
_chemical_formula_sum 'Rb12 Pm9 Er3 Se24'
_cell_length_a 8.6295
_cell_length_b 8.6295
_cell_length_c 24.0358
_cell_angle_alpha 90.00
_cell_angle_beta 90.00
_cell_angle_gamma 120.00
_symmetry_space_group_name_H-M 'R -3 m'
_symmetry_Int_Tables_number 166
_symmetry_space_group_name_Hall '-R 3 2"'
loop_
_atom_site_label
_atom_site_type_symbol
_atom_site_fract_x
_atom_site_fract_y
_atom_site_fract_z
Rb1 Rb 0.0000 0.0000 0.0000
Rb2 Rb 0.0000 0.5000 0.0000
Pm1 Pm 0.0000 0.5000 0.5000
Er1 Er 0.0000 0.0000 0.5000
Se1 Se 0.0000 0.0000 0.2336
Se2 Se 0.0075 0.5037 0.2325

[3]
# RbHfTlCr2 PBE-GGA optimized geometry
# Crystal system: tetragonal
# Energy relative to the elements (eV/atom): 2.45
# Raw total energy (eV for the cell shown): -20.3
# Relative energy among the computed polymorphs (meV/atom): 1045.6
data_RbHfTlCr2
_chemical_formula_sum 'Rb1 Hf1 Tl1 Cr2'
_cell_length_a 5.056
_cell_length_b 5.056
_cell_length_c 5.616
_cell_angle_alpha 90.00
_cell_angle_beta 90.00
_cell_angle_gamma 90.00
_symmetry_space_group_name_H-M 'P 4/m m m'
_symmetry_Int_Tables_number 123
_symmetry_space_group_name_Hall '-P 4 2'
loop_
_atom_site_label
_atom_site_type_symbol
_atom_site_fract_x
_atom_site_fract_y
_atom_site_fract_z
Rb1 Rb 0.000 0.000 0.000
Hf1 Hf 0.500 0.500 0.000
Tl1 Tl 0.000 0.000 0.500
Cr1 Cr 0.000 0.500 0.500

[4]
# K6TcN4 PBE-GGA optimized geometry
# Crystal system: hexagonal
# Energy relative to the elements, uncorrected (kJ/mol of atoms): -8.6
# Raw total energy (eV for the cell shown): -102.5
data_K6TcN4
_chemical_formula_sum 'K12 Tc2 N8'
_cell_length_a 9.3246
_cell_length_b 9.3246
_cell_length_c 6.7140
_cell_angle_alpha 90.00
_cell_angle_beta 90.00
_cell_angle_gamma 120.00
_symmetry_space_group_name_H-M 'P 63 m c'
_symmetry_Int_Tables_number 186
_symmetry_space_group_name_Hall 'P 6c -2c'
loop_
_atom_site_label
_atom_site_type_symbol
_atom_site_fract_x
_atom_site_fract_y
_atom_site_fract_z
K1 K 0.0799 0.5400 0.0000
K2 K 0.1422 0.2845 0.3365
Tc1 Tc 0.3333 0.6667 0.5947
N1 N 0.2260 0.4521 0.6901
N2 N 0.3333 0.6667 0.3163

[5]
# DySc4CuS8 PBE-GGA optimized geometry
# Crystal system: trigonal
# Energy relative to the elements, uncorrected (kJ/mol of atoms): -165.3
# Raw total energy (eV for the cell shown): -273.1
data_DySc4CuS8
_chemical_formula_sum 'Dy3 Sc12 Cu3 S24'
_cell_length_a 7.5354
_cell_length_b 7.5354
_cell_length_c 18.8301
_cell_angle_alpha 90.00
_cell_angle_beta 90.00
_cell_angle_gamma 120.00
_symmetry_space_group_name_H-M 'R 3 m'
_symmetry_Int_Tables_number 160
_symmetry_space_group_name_Hall 'R 3 -2"'
loop_
_atom_site_label
_atom_site_type_symbol
_atom_site_fract_x
_atom_site_fract_y
_atom_site_fract_z
Dy1 Dy 0.0000 0.0000 0.0000
Sc1 Sc 0.0000 0.0000 0.3754
Sc2 Sc 0.0156 0.5078 0.5050
Cu1 Cu 0.0000 0.0000 0.6284
S1 S 0.0000 0.0000 0.2437
S2 S 0.0000 0.0000 0.7571
S3 S 0.0118 0.5059 0.7599
S4 S 0.1682 0.3364 0.5813

[6]
# CaGaCo3 PBE-GGA optimized geometry
# Crystal system: cubic
# Energy relative to the elements (eV/atom): 1.78
# Raw total energy (eV for the cell shown): -17.4
# Relative energy among the computed polymorphs (meV/atom): 1215.4
data_CaGaCo3
_chemical_formula_sum 'Ca1 Ga1 Co3'
_cell_length_a 4.494
_cell_length_b 4.494
_cell_length_c 4.494
_cell_angle_alpha 90.00
_cell_angle_beta 90.00
_cell_angle_gamma 90.00
_symmetry_space_group_name_H-M 'P m -3 m'
_symmetry_Int_Tables_number 221
_symmetry_space_group_name_Hall '-P 4 2 3'
loop_
_atom_site_label
_atom_site_type_symbol
_atom_site_fract_x
_atom_site_fract_y
_atom_site_fract_z
Ca1 Ca 0.000 0.000 0.000
Ga1 Ga 0.500 0.500 0.500
Co1 Co 0.000 0.000 0.500

no.,ρ (g cm⁻³)
1,4.08
2,5.06
3,6.62
4,2.55
5,3.56
6,5.25